Here is crystalline LiTbTlBr5 at its relaxed geometry from the Alexandria database. Energies are from PBE-GGA.

The structure belongs to space group C2/c (No. 15); the cell edges are 9.276, 12.728 and 10.560 Å and the angles 90.00°, 113.16° and 90.00°. The asymmetric unit holds Li at (0.000, 0.191, 0.250), Tb at (0.000, 0.500, 0.000), Tl at (0.000, 0.142, 0.750), Br at (0.000, 0.417, 0.750), Br at (0.115, 0.302, 0.113) and Br at (0.188, 0.066, 0.433).

For the uncorrected formation energy, the calculation gives -1.53 eV per atom. As for the total magnetic moment: 0.0 μB/f.u.